Below is a relaxed Li2HgAu crystal, with properties calculated at the PBEsol level.

Offset from the most stable computed form in eV per formula unit: 0.00
Symmetry: I4/mmm (139)
Size of the total moment in μB/atom: 0.000
D(E_F) in states/eV/f.u.: 1.15
DFT total energy in eV per formula unit: -10.29

Cell lengths 4.432, 4.432, 4.432 Å; angles 119.16, 119.16, 91.45 degrees
Sites, in units of the cell vectors:
Li  0.250  0.750  0.500
Li  0.750  0.250  0.500
Hg  0.000  0.000  0.000
Au  0.500  0.500  0.000

---

Below is a relaxed BRuN2O crystal, with properties calculated at the PBEsol level.

Symmetry: P4/mmm (123)
Size of the total moment in μB/atom: 0.000
D(E_F) in states/eV/f.u.: 2.43
DFT total energy in eV per formula unit: -32.66

Cell lengths 3.745, 3.745, 3.871 Å; angles 90.00, 90.00, 90.00 degrees
Sites, in units of the cell vectors:
B  0.000  0.000  0.000
Ru  0.500  0.500  0.500
N  0.000  0.500  0.500
N  0.500  0.000  0.500
O  0.500  0.500  0.000

---

Below is a relaxed NaZr2ReCl crystal, with properties calculated at the PBEsol level.

Symmetry: P4/mmm (123)
Size of the total moment in μB/atom: 0.000
D(E_F) in states/eV/f.u.: 4.48
DFT total energy in eV per formula unit: -32.11

Cell lengths 4.766, 4.766, 4.318 Å; angles 90.00, 90.00, 90.00 degrees
Sites, in units of the cell vectors:
Na  0.000  0.000  0.000
Zr  0.000  0.500  0.500
Zr  0.500  0.000  0.500
Re  0.500  0.500  0.000
Cl  0.000  0.000  0.500

---

Below is a relaxed LiSnSeBr2 crystal, with properties calculated at the PBEsol level.

Symmetry: P4/mmm (123)
Size of the total moment in μB/atom: 0.000
D(E_F) in states/eV/f.u.: 1.45
DFT total energy in eV per formula unit: -16.35

Cell lengths 5.584, 5.584, 5.216 Å; angles 90.00, 90.00, 90.00 degrees
Sites, in units of the cell vectors:
Li  0.000  0.000  0.000
Sn  0.500  0.500  0.500
Se  0.500  0.500  0.000
Br  0.000  0.500  0.500
Br  0.500  0.000  0.500

---

Which of these has the lowest DFT total energy?
BRuN2O